Here is crystalline RbPuAgTe2S at its relaxed geometry from OQMD via LeMat-Bulk. Energies are from PBE-GGA.

## Properties
E in eV per atom: -5.7063

Cell lengths 9.025, 4.256, 10.676 Å; angles 90.00, 110.24, 90.00 degrees
Atoms (fractional coordinates):
Rb 0.235 0.250 0.235
Rb 0.765 0.750 0.765
Pu 0.167 0.750 0.638
Pu 0.833 0.250 0.362
Ag 0.426 0.250 0.898
Ag 0.574 0.750 0.102
Te 0.241 0.750 0.943
Te 0.408 0.250 0.629
Te 0.592 0.750 0.371
Te 0.759 0.250 0.057
S 0.025 0.750 0.372
S 0.975 0.250 0.628